TmTl2TeSe4 | GGA-PBE | relaxed

Its raw formation energy is -0.702 eV per atom. As for the space-group type: No. 10.

abc: 4.1267 7.9918 7.6175
angles: 70.72 90.00 90.00
Fractional coordinates of all 8 atoms:
Se 0.5000 0.7233 0.2926
Se 0.5000 0.2767 0.7074
Se 0.0000 0.3034 0.2365
Se 0.0000 0.6966 0.7635
Tl 0.5000 0.0000 0.5000
Tl 0.0000 0.0000 0.0000
Tm 0.0000 0.5000 0.5000
Te 0.5000 0.5000 0.0000

TaMn4Ni15 | GGA-PBE | relaxed

Its formation energy is -0.15 eV per atom. As for the space-group type: No. 123.

abc: 3.5977 3.5977 17.9004
angles: 90.00 90.00 90.00
Each line ends with the local moment (μB).
Fractional coordinates of all 20 atoms:
Mn 0.0000 0.0000 0.5989  3.26
Mn 0.0000 0.0000 0.2052  3.39
Mn 0.0000 0.0000 0.4011  3.26
Mn 0.0000 0.0000 0.7948  3.39
Ni 0.5000 0.0000 0.5000  0.60
Ni 0.5000 0.0000 0.6974  0.55
Ni 0.5000 0.5000 0.7977  0.37
Ni 0.0000 0.5000 0.1029  0.15
Ni 0.0000 0.5000 0.3026  0.55
Ni 0.0000 0.5000 0.8971  0.15
Ni 0.5000 0.5000 0.5988  0.60
Ni 0.5000 0.0000 0.3026  0.55
Ni 0.0000 0.5000 0.6974  0.55
Ni 0.5000 0.5000 0.4012  0.60
Ni 0.5000 0.5000 0.2023  0.37
Ni 0.5000 0.5000 0.0000  0.02
Ni 0.5000 0.0000 0.1029  0.15
Ni 0.0000 0.5000 0.5000  0.60
Ni 0.5000 0.0000 0.8971  0.15
Ta 0.0000 0.0000 0.0000  -0.03